ZnFeSi2 | PBE | relaxed

Cell lengths 5.1097, 5.5026, 7.0445 Å; angles 90.00, 90.00, 90.00 degrees
Last column: nearest neighbours and their distance in Å.
Fractional positions:
Zn1 0.0000 0.0000 0.0000  4 Fe 2.55-2.75, 8 Si 2.57
Zn2 0.0000 0.5000 0.5000  4 Fe 2.55-2.75, 8 Si 2.57
Zn3 0.5000 0.0000 0.5000  4 Fe 2.55-2.75, 8 Si 2.57
Zn4 0.5000 0.5000 0.0000  4 Fe 2.55-2.75, 8 Si 2.57
Fe1 0.0000 0.0000 0.5000  4 Zn 2.55-2.75, 8 Si 2.57
Fe2 0.0000 0.5000 0.0000  4 Zn 2.55-2.75, 8 Si 2.57
Fe3 0.5000 0.0000 0.0000  4 Zn 2.55-2.75, 8 Si 2.57
Fe4 0.5000 0.5000 0.5000  4 Zn 2.55-2.75, 8 Si 2.57
Si1 0.2500 0.2500 0.2500  4 Si 2.55-2.75, 4 Fe 2.57, 4 Zn 2.57
Si2 0.2500 0.2500 0.7500  4 Si 2.55-2.75, 4 Fe 2.57, 4 Zn 2.57
Si3 0.2500 0.7500 0.2500  4 Si 2.55-2.75, 4 Zn 2.57, 4 Fe 2.57
Si4 0.2500 0.7500 0.7500  4 Si 2.55-2.75, 4 Fe 2.57, 4 Zn 2.57
Si5 0.7500 0.2500 0.2500  4 Si 2.55-2.75, 4 Zn 2.57, 4 Fe 2.57
Si6 0.7500 0.2500 0.7500  4 Si 2.55-2.75, 4 Fe 2.57, 4 Zn 2.57
Si7 0.7500 0.7500 0.2500  4 Si 2.55-2.75, 4 Fe 2.57, 4 Zn 2.57
Si8 0.7500 0.7500 0.7500  4 Si 2.55-2.75, 4 Zn 2.57, 4 Fe 2.57

Computed properties:
Symmetry: Fmmm (69)
ρ in g/cm3: 5.950
Formation energy (no corrections) in eV per atom: 0.128
M_tot in μB/atom: 0.00